Pr2Pa4Ge3N2 | PBE | relaxed

Unit cell a=4.598 b=4.598 c=12.473 alpha=100.62 beta=100.62 gamma=90.00
Sites, in units of the cell vectors:
Pr: 0.699 0.699 0.398
Pr: 0.301 0.301 0.602
Pa: 0.581 0.081 0.162
Pa: 0.419 0.919 0.838
Pa: 0.919 0.419 0.838
Pa: 0.081 0.581 0.162
N: 0.588 0.588 0.177
N: 0.412 0.412 0.823
Ge: 0.831 0.831 0.662
Ge: 0.169 0.169 0.338
Ge: 0.000 0.000 0.000

Results
Formation energy without anion corrections in eV/atom: -0.87
Fermi-level density of states in states/eV/cell: 12.9
Theoretical density in g/cm³: 9.469
Crystal system: tetragonal
Calculated total energy in eV for the cell shown: -87.58